No. 1
A plane-wave DFT calculation with PBE-GGA was carried out for a geometry-optimized La6NdSe8 structure.

```
data_La6NdSe8
_chemical_formula_sum 'La24 Nd4 Se32'
_cell_length_a 12.1621
_cell_length_b 12.1621
_cell_length_c 12.1621
_cell_angle_alpha 90.00
_cell_angle_beta 90.00
_cell_angle_gamma 90.00
_symmetry_space_group_name_H-M 'F m -3 m'
_symmetry_Int_Tables_number 225
_symmetry_space_group_name_Hall '-F 4 2 3'
loop_
_atom_site_label
_atom_site_type_symbol
_atom_site_fract_x
_atom_site_fract_y
_atom_site_fract_z
La1 La 0.0000 0.2500 0.2500
Nd1 Nd 0.0000 0.0000 0.0000
Se1 Se 0.0000 0.0000 0.2480
Se2 Se 0.2500 0.2500 0.2500
```

Calculated values
volume: 1799.0 Å³ per cell
DOS at the Fermi energy: 8.64 states/eV/f.u.
raw formation energy: -1.9948 eV/atom

---

No. 2
A plane-wave DFT calculation with PBE-GGA was carried out for a geometry-optimized Sr2BN structure.

```
data_Sr2BN
_chemical_formula_sum 'Sr8 B4 N4'
_cell_length_a 6.7804
_cell_length_b 6.7804
_cell_length_c 6.7804
_cell_angle_alpha 90.00
_cell_angle_beta 90.00
_cell_angle_gamma 90.00
_symmetry_space_group_name_H-M 'F m -3 m'
_symmetry_Int_Tables_number 225
_symmetry_space_group_name_Hall '-F 4 2 3'
loop_
_atom_site_label
_atom_site_type_symbol
_atom_site_fract_x
_atom_site_fract_y
_atom_site_fract_z
Sr1 Sr 0.2500 0.2500 0.2500
B1 B 0.0000 0.0000 0.0000
N1 N 0.0000 0.0000 0.5000
```

Calculated values
volume: 311.7 Å³ per cell
DOS at the Fermi energy: 3.64 states/eV/f.u.
excess energy over the best structure of this formula in the dataset: 86.5 meV per atom
raw formation energy: 0.6789 eV/atom

---

No. 3
A plane-wave DFT calculation with PBE-GGA was carried out for a geometry-optimized AlSbTe structure.

```
data_AlSbTe
_chemical_formula_sum 'Al2 Sb2 Te2'
_cell_length_a 3.6900
_cell_length_b 3.6900
_cell_length_c 11.4262
_cell_angle_alpha 90.00
_cell_angle_beta 90.00
_cell_angle_gamma 90.00
_symmetry_space_group_name_H-M 'I 4 m m'
_symmetry_Int_Tables_number 107
_symmetry_space_group_name_Hall 'I 4 -2'
loop_
_atom_site_label
_atom_site_type_symbol
_atom_site_fract_x
_atom_site_fract_y
_atom_site_fract_z
Al1 Al 0.0000 0.0000 0.0000
Sb1 Sb 0.0000 0.0000 0.3599
Te1 Te 0.0000 0.0000 0.6258
```

Calculated values
volume: 155.6 Å³ per cell
DOS at the Fermi energy: 1.27 states/eV/f.u.
excess energy over the best structure of this formula in the dataset: 263.5 meV per atom
raw formation energy: 0.1230 eV/atom

---

No. 4
A plane-wave DFT calculation with PBE-GGA was carried out for a geometry-optimized PmSmGdIn structure.

```
data_PmSmGdIn
_chemical_formula_sum 'Pm4 Sm4 Gd4 In4'
_cell_length_a 7.8263
_cell_length_b 7.8263
_cell_length_c 7.8263
_cell_angle_alpha 90.00
_cell_angle_beta 90.00
_cell_angle_gamma 90.00
_symmetry_space_group_name_H-M 'F -4 3 m'
_symmetry_Int_Tables_number 216
_symmetry_space_group_name_Hall 'F -4 2 3'
loop_
_atom_site_label
_atom_site_type_symbol
_atom_site_fract_x
_atom_site_fract_y
_atom_site_fract_z
Pm1 Pm 0.0000 0.0000 0.0000
Sm1 Sm 0.0000 0.0000 0.5000
Gd1 Gd 0.2500 0.2500 0.7500
In1 In 0.2500 0.2500 0.2500
```

Calculated values
calculated formation energy: -0.17 eV per atom
volume: 479.4 Å³ per cell
DOS at the Fermi energy: 6.41 states/eV/f.u.

---

No. 5
A plane-wave DFT calculation with PBE-GGA was carried out for a geometry-optimized Zn2SiAu structure.

```
data_Zn2SiAu
_chemical_formula_sum 'Zn4 Si2 Au2'
_cell_length_a 8.4299
_cell_length_b 3.1022
_cell_length_c 4.9884
_cell_angle_alpha 90.00
_cell_angle_beta 99.63
_cell_angle_gamma 90.00
_symmetry_space_group_name_H-M 'C 1 m 1'
_symmetry_Int_Tables_number 8
loop_
_symmetry_equiv_pos_as_xyz
'x,y,z'
'x,-y,z'
'x+1/2,y+1/2,z'
'x+1/2,-y+1/2,z'
loop_
_atom_site_label
_atom_site_type_symbol
_atom_site_fract_x
_atom_site_fract_y
_atom_site_fract_z
Zn1 Zn 0.0000 0.0000 0.0000
Zn2 Zn 0.2502 0.0000 0.7732
Si1 Si 0.4988 0.0000 0.5240
Au1 Au 0.2519 0.5000 0.2687
```

Calculated values
volume: 128.6 Å³ per cell
DOS at the Fermi energy: 1.47 states/eV/f.u.
raw formation energy: 0.0857 eV/atom

---

No. 6
A plane-wave DFT calculation with PBE-GGA was carried out for a geometry-optimized UCoB4 structure.

```
data_UCoB4
_chemical_formula_sum 'U4 Co4 B16'
_cell_length_a 5.8934
_cell_length_b 11.4321
_cell_length_c 3.3677
_cell_angle_alpha 90.00
_cell_angle_beta 90.00
_cell_angle_gamma 90.00
_symmetry_space_group_name_H-M 'P b a m'
_symmetry_Int_Tables_number 55
loop_
_symmetry_equiv_pos_as_xyz
'x,y,z'
'-x,-y,-z'
'-x,-y,z'
'x,y,-z'
'x+1/2,-y+1/2,-z'
'-x+1/2,y+1/2,z'
'-x+1/2,y+1/2,-z'
'x+1/2,-y+1/2,z'
loop_
_atom_site_label
_atom_site_type_symbol
_atom_site_fract_x
_atom_site_fract_y
_atom_site_fract_z
U1 U 0.1267 0.1503 0.0000
Co1 Co 0.1314 0.4130 0.0000
B1 B 0.0258 0.6922 0.5000
B2 B 0.1135 0.5464 0.5000
B3 B 0.1352 0.9661 0.5000
B4 B 0.2171 0.8134 0.5000
```

Calculated values
calculated formation energy: -0.51 eV per atom
volume: 226.9 Å³ per cell
DOS at the Fermi energy: 6.00 states/eV/f.u.

---

No. 7
A plane-wave DFT calculation with PBE-GGA was carried out for a geometry-optimized Sr6CuAg3 structure.

```
data_Sr6CuAg3
_chemical_formula_sum 'Sr12 Cu2 Ag6'
_cell_length_a 12.1182
_cell_length_b 4.4923
_cell_length_c 14.6663
_cell_angle_alpha 90.00
_cell_angle_beta 111.84
_cell_angle_gamma 90.00
_symmetry_space_group_name_H-M 'P 1 21/m 1'
_symmetry_Int_Tables_number 11
loop_
_symmetry_equiv_pos_as_xyz
'x,y,z'
'-x,-y,-z'
'-x,y+1/2,-z'
'x,-y+1/2,z'
loop_
_atom_site_label
_atom_site_type_symbol
_atom_site_fract_x
_atom_site_fract_y
_atom_site_fract_z
Sr1 Sr 0.0174 0.2500 0.3856
Sr2 Sr 0.0677 0.2500 0.9028
Sr3 Sr 0.2572 0.7500 0.3289
Sr4 Sr 0.3405 0.7500 0.7976
Sr5 Sr 0.3460 0.7500 0.1034
Sr6 Sr 0.4044 0.2500 0.5848
Cu1 Cu 0.4108 0.2500 0.2737
Ag1 Ag 0.1636 0.2500 0.1558
Ag2 Ag 0.1960 0.7500 0.5341
Ag3 Ag 0.4190 0.2500 0.9718
```

Calculated values
calculated formation energy: -0.16 eV per atom
volume: 741.1 Å³ per cell
DOS at the Fermi energy: 7.65 states/eV/f.u.

---

No. 8
A plane-wave DFT calculation with PBE-GGA was carried out for a geometry-optimized Rb2VBr structure.

```
data_Rb2VBr
_chemical_formula_sum 'Rb8 V4 Br4'
_cell_length_a 8.9040
_cell_length_b 8.9040
_cell_length_c 8.9040
_cell_angle_alpha 90.00
_cell_angle_beta 90.00
_cell_angle_gamma 90.00
_symmetry_space_group_name_H-M 'F m -3 m'
_symmetry_Int_Tables_number 225
_symmetry_space_group_name_Hall '-F 4 2 3'
loop_
_atom_site_label
_atom_site_type_symbol
_atom_site_fract_x
_atom_site_fract_y
_atom_site_fract_z
Rb1 Rb 0.2500 0.2500 0.2500
V1 V 0.0000 0.0000 0.0000
Br1 Br 0.0000 0.0000 0.5000
```

Calculated values
volume: 705.9 Å³ per cell
DOS at the Fermi energy: 6.04 states/eV/f.u.
excess energy over the best structure of this formula in the dataset: 17.0 meV per atom
raw formation energy: 0.2577 eV/atom